First-principles (PBEsol) data for a relaxed K4SiBr crystal, as listed in Alexandria via LeMat-Bulk.

Properties
Space group = No. 216
Total magnetic moment = 1.19 Bohr magnetons per cell
Uncorrected energy = -10.851 eV/cell
E_form (uncorrected) = 0.216 eV per atom

```
K4SiBr
1.0
-2.6350 4.2390 -4.7490
-2.8340 -2.5780 -5.7261
-6.8200 0.3307 -0.9182
Br K Si
1 4 1
direct
0.0000 0.0000 0.0000
0.3748 0.3748 0.3748
0.3748 0.3748 0.8755
0.8755 0.3748 0.3748
0.3748 0.8755 0.3748
0.7500 0.7500 0.7500
```